(1)
Below is a geometry-optimized Ce2ZnGa3Pd4 structure, with properties calculated at the PBE level.

Output
- total DFT energy (no corrections) (eV per atom) = -5.011
- volume (Å³/cell) = 191.4
- formation energy (eV per atom) = -0.711

Cell lengths 4.162, 4.162, 11.050 Å; angles 90.00, 90.00, 90.00 degrees
Element x y z (fractional)
1 Ce 0.000 0.500 0.243
2 Ce 0.500 0.000 0.757
3 Zn 0.500 0.500 0.000
4 Ga 0.000 0.000 0.000
5 Ga 0.000 0.500 0.631
6 Ga 0.500 0.000 0.369
7 Pd 0.000 0.000 0.500
8 Pd 0.000 0.500 0.859
9 Pd 0.500 0.000 0.141
10 Pd 0.500 0.500 0.500



(2)
Below is a geometry-optimized ScAg2Hg2 structure, with properties calculated at the PBE level.

Output
- total DFT energy (no corrections) (eV per atom) = -2.542
- energy above the most stable polymorph in this dataset (eV per atom) = 0.1459
- volume (Å³/cell) = 109.5
- formation energy (eV per atom) = -0.014

Cell lengths 7.593, 7.593, 7.593 Å; angles 149.95, 149.95, 43.02 degrees
Element x y z (fractional)
1 Sc 0.000 0.000 0.000
2 Ag 0.250 0.750 0.500
3 Ag 0.750 0.250 0.500
4 Hg 0.399 0.399 0.000
5 Hg 0.601 0.601 0.000



(3)
Below is a geometry-optimized Rb3RuO4 structure, with properties calculated at the PBE level.

Output
- formation energy (no corrections) (eV per atom) = -1.27
- total DFT energy (no corrections) (eV per atom) = -5.268
- volume (Å³/cell) = 685.1

Cell lengths 8.161, 9.585, 8.759 Å; angles 90.00, 90.00, 90.00 degrees
Element x y z (fractional)
1 Rb 0.031 0.030 0.232
2 Rb 0.031 0.470 0.232
3 Rb 0.185 0.750 0.464
4 Rb 0.315 0.250 0.964
5 Rb 0.469 0.530 0.732
6 Rb 0.469 0.970 0.732
7 Rb 0.531 0.030 0.268
8 Rb 0.531 0.470 0.268
9 Rb 0.685 0.750 0.036
10 Rb 0.815 0.250 0.536
11 Rb 0.969 0.530 0.768
12 Rb 0.969 0.970 0.768
13 Ru 0.220 0.750 0.995
14 Ru 0.280 0.250 0.495
15 Ru 0.720 0.750 0.505
16 Ru 0.780 0.250 0.005
17 O 0.029 0.750 0.109
18 O 0.191 0.076 0.530
19 O 0.191 0.424 0.530
20 O 0.223 0.750 0.781
21 O 0.277 0.250 0.281
22 O 0.309 0.576 0.030
23 O 0.309 0.924 0.030
24 O 0.471 0.250 0.609
25 O 0.529 0.750 0.391
26 O 0.691 0.076 0.970
27 O 0.691 0.424 0.970
28 O 0.723 0.750 0.719
29 O 0.777 0.250 0.219
30 O 0.809 0.576 0.470
31 O 0.809 0.924 0.470
32 O 0.971 0.250 0.891



(4)
Below is a geometry-optimized Sc2InBi structure, with properties calculated at the PBE level.

Output
- total DFT energy (no corrections) (eV per atom) = -5.220
- energy above the most stable polymorph in this dataset (eV per atom) = 0.0000
- volume (Å³/cell) = 97.3
- formation energy (eV per atom) = -0.399

Cell lengths 3.846, 3.846, 6.581 Å; angles 90.00, 90.00, 90.00 degrees
Element x y z (fractional)
1 Sc 0.000 0.000 0.248
2 Sc 0.000 0.000 0.752
3 In 0.500 0.500 0.500
4 Bi 0.500 0.500 0.000